Record 1
## Nd2DySn (GGA-PBE)

Data for Nd2DySn after structural relaxation.

Geometry as extended XYZ:
```
8
Lattice="-0.8827 3.0271 -1.4409 -3.6552 -2.6751 -3.3811 -9.3914 0.0792 10.0900" Properties=species:S:1:pos:R:3 pbc="T T T"
Nd -9.3050 0.4990 2.5777
Nd -4.6008 -1.7051 -0.7640
Nd -4.6241 -0.0678 2.6903
Nd -9.3284 2.1363 6.0320
Dy -12.4679 1.0113 5.5915
Dy -1.4613 -0.5801 -0.3235
Sn -7.0265 0.1299 0.4065
Sn -6.9026 0.3013 4.8615
```

Summary:
Crystal system: orthorhombic

Record 2
## NdDySn2 (GGA-PBE)

Data for NdDySn2 after structural relaxation.

Geometry as extended XYZ:
```
4
Lattice="3.5065 0.0000 0.0000 0.0000 3.5065 0.0000 0.0000 0.0000 8.9570" Properties=species:S:1:pos:R:3 pbc="T T T"
Nd 1.7533 1.7533 4.4785
Sn 0.0000 0.0000 6.7886
Sn 0.0000 0.0000 2.1684
Dy 1.7533 1.7533 0.0000
```

Summary:
Crystal system: tetragonal

Record 3
## NdDy3Sn2 (GGA-PBE)

Data for NdDy3Sn2 after structural relaxation.

Geometry as extended XYZ:
```
12
Lattice="-3.4084 -0.8471 2.9648 8.4612 -2.9040 5.3349 -3.0115 9.0218 -0.8843" Properties=species:S:1:pos:R:3 pbc="T T T"
Nd 0.7809 5.1614 5.9351
Nd 1.2605 0.1092 1.4803
Dy 2.6412 2.4942 3.7491
Dy 2.5581 1.8423 7.0298
Dy -2.1790 5.9011 2.7437
Dy 4.2204 -0.6306 4.6717
Dy -0.5167 3.4283 0.3856
Dy -0.5998 2.7763 3.6663
Sn 4.1089 4.2659 5.9426
Sn -2.0675 1.0047 1.4728
Sn 1.0939 -0.0836 4.7963
Sn 0.9474 5.3542 2.6191
```

Summary:
Crystal system: monoclinic

Record 4
## Nd5Dy2Sn4 (GGA-PBE)

Data for Nd5Dy2Sn4 after structural relaxation.

Geometry as extended XYZ:
```
11
Lattice="4.5659 0.0000 0.0000 0.0000 7.6107 -0.5124 -2.2830 -3.1498 10.8727" Properties=species:S:1:pos:R:3 pbc="T T T"
Nd 0.0000 6.0212 3.0546
Nd 2.2830 -1.5603 7.3057
Nd 0.0000 1.9819 3.2966
Nd 2.2830 0.0000 0.0000
Nd 2.2830 2.4790 7.0637
Dy 0.0000 0.5701 9.0519
Dy 2.2830 3.8908 1.3083
Sn 2.2830 4.0700 4.3015
Sn 0.0000 5.4161 -0.3444
Sn 0.0000 0.3909 6.0588
Sn 2.2830 -0.9552 10.7046
```

Summary:
Crystal system: monoclinic

Computed uncorrected energy, in the same sequence as the records: -4.5962; -4.9945; -4.9350; -4.8862 eV per atom.
Computed ΔE_f, in the same sequence as the records: -1.408; -15.003; -11.647; -9.840 kcal/mol of atoms.